[1]
# PBE-GGA La2Sb2Pb, optimized geometry
data_La2Sb2Pb
_cell_length_a 6.2134
_cell_length_b 6.2134
_cell_length_c 9.3336
_cell_angle_alpha 90.00
_cell_angle_beta 90.00
_cell_angle_gamma 90.00
_space_group_name_H-M_alt 'I 4/m m m'
_space_group_IT_number 139
_space_group_name_Hall '-I 4 2'
loop_
_atom_site_label
_atom_site_fract_x
_atom_site_fract_y
_atom_site_fract_z
La1 0.0000 0.5000 0.2500
Sb1 0.0000 0.0000 0.1625
Pb1 0.0000 0.0000 0.5000
# - Formation energy from raw total energies: -0.585 eV per atom
# - DOS at the Fermi energy: 10.70 states/eV per cell
# - E_tot: -24.73 eV per formula unit



[2]
# PBE-GGA RbIr3C, optimized geometry
data_RbIr3C
_cell_length_a 4.8953
_cell_length_b 4.8953
_cell_length_c 4.8953
_cell_angle_alpha 90.00
_cell_angle_beta 90.00
_cell_angle_gamma 90.00
_space_group_name_H-M_alt 'P m -3 m'
_space_group_IT_number 221
_space_group_name_Hall '-P 4 2 3'
loop_
_atom_site_label
_atom_site_fract_x
_atom_site_fract_y
_atom_site_fract_z
Rb1 0.0000 0.0000 0.0000
Ir1 0.0000 0.0000 0.5000
C1 0.5000 0.5000 0.5000
# - DOS at the Fermi energy: 7.12 states/eV per cell
# - E_tot: -13.52 eV per formula unit



[3]
# PBE-GGA MgTe2S, optimized geometry
data_MgTe2S
_cell_length_a 7.2229
_cell_length_b 7.2229
_cell_length_c 7.2229
_cell_angle_alpha 90.00
_cell_angle_beta 90.00
_cell_angle_gamma 90.00
_space_group_name_H-M_alt 'F m -3 m'
_space_group_IT_number 225
_space_group_name_Hall '-F 4 2 3'
loop_
_atom_site_label
_atom_site_fract_x
_atom_site_fract_y
_atom_site_fract_z
Mg1 0.0000 0.0000 0.0000
Te1 0.2500 0.2500 0.2500
S1 0.0000 0.0000 0.5000
# - Formation energy from raw total energies: 0.200 eV per atom
# - DOS at the Fermi energy: 16.11 states/eV per cell
# - E_tot: -11.21 eV per formula unit



| no. | distance to the lowest polymorph of the same formula (eV per atom) |
| --- | --- |
| 1 | 0.3093 |
| 2 | 3.5958 |
| 3 | 0.2250 |